# 1
{
  "formula": "RbSn2Os2",
  "functional": "SCAN",
  "state": "PBEsol geometry",
  "formation_enthalpy_0k_mev_per_atom": 412,
  "lattice": [[-4.306, -1.991, 0.379], [2.013, -4.096, 1.348], [0.894, 4.505, 3.954]],
  "species": ["Os", "Os", "Sn", "Sn", "Rb"],
  "frac_coords": [[0.384, 0.384, 0.769], [0.616, 0.616, 0.231], [0.250, 0.750, 0.500], [0.750, 0.250, 0.500], [0.000, 0.000, 0.000]]
}

# 2
{
  "formula": "Li3FeF6",
  "functional": "SCAN",
  "state": "PBEsol geometry",
  "raw_formation_energy_mev_per_atom": -2867,
  "relative_energy_mev_per_atom": 0,
  "lattice": [[5.885, 0.031, 0.032], [-0.096, 5.884, 0.032], [-0.096, -0.098, 5.884]],
  "species": ["Li", "Li", "Li", "Li", "Li", "Li", "Fe", "Fe", "F", "F", "F", "F", "F", "F", "F", "F", "F", "F", "F", "F"],
  "frac_coords": [[0.937, 0.447, 0.755], [0.553, 0.245, 0.063], [0.245, 0.063, 0.553], [0.755, 0.937, 0.447], [0.447, 0.755, 0.937], [0.063, 0.553, 0.245], [0.000, 0.000, 0.000], [0.500, 0.500, 0.500], [0.927, 0.064, 0.702], [0.936, 0.298, 0.073], [0.554, 0.191, 0.396], [0.298, 0.073, 0.936], [0.809, 0.604, 0.446], [0.604, 0.446, 0.809], [0.396, 0.554, 0.191], [0.191, 0.396, 0.554], [0.702, 0.927, 0.064], [0.446, 0.809, 0.604], [0.064, 0.702, 0.927], [0.073, 0.936, 0.298]]
}

# 3
{
  "formula": "ZnIn3Os",
  "functional": "SCAN",
  "state": "PBEsol geometry",
  "formation_enthalpy_0k_mev_per_atom": 1317,
  "lattice": [[-2.989, -2.409, -3.019], [-2.220, -2.052, 3.835], [-3.161, 3.719, 0.161]],
  "species": ["Zn", "Os", "In", "In", "In"],
  "frac_coords": [[0.000, 0.000, 0.000], [0.500, 0.500, 0.500], [0.000, 0.500, 0.000], [0.000, 0.000, 0.500], [0.500, 0.000, 0.000]]
}

# 4
{
  "formula": "ZnSi2Br",
  "functional": "SCAN",
  "state": "PBEsol geometry",
  "raw_formation_energy_mev_per_atom": 622,
  "relative_energy_mev_per_atom": 527,
  "lattice": [[-0.462, 2.250, -1.909], [-4.441, -1.253, -0.402], [1.206, 2.634, 5.149]],
  "species": ["Br", "Si", "Si", "Zn"],
  "frac_coords": [[0.000, 0.500, 0.000], [0.791, 0.791, 0.583], [0.209, 0.209, 0.417], [0.500, 0.000, 0.000]]
}

# 5
{
  "formula": "KCaP3",
  "functional": "SCAN",
  "state": "PBEsol geometry",
  "formation_enthalpy_0k_mev_per_atom": 1140,
  "lattice": [[5.083, 0.000, 0.000], [0.000, 5.083, 0.000], [0.000, 0.000, 5.083]],
  "species": ["P", "P", "P", "Ca", "K"],
  "frac_coords": [[0.000, 0.500, 0.000], [0.000, 0.000, 0.500], [0.500, 0.000, 0.000], [0.500, 0.500, 0.500], [0.000, 0.000, 0.000]]
}

# 6
{
  "formula": "Ta6Mo",
  "functional": "SCAN",
  "state": "PBEsol geometry",
  "formation_enthalpy_0k_mev_per_atom": -68,
  "relative_energy_mev_per_atom": 0,
  "lattice": [[3.240, 0.000, 0.000], [-1.620, 5.146, -0.003], [0.000, -1.049, 7.245]],
  "species": ["Mo", "Ta", "Ta", "Ta", "Ta", "Ta", "Ta"],
  "frac_coords": [[0.000, 0.000, 0.000], [0.706, 0.411, 0.140], [0.428, 0.857, 0.277], [0.143, 0.286, 0.434], [0.857, 0.714, 0.566], [0.572, 0.143, 0.723], [0.294, 0.589, 0.860]]
}